(1)
Compound: CaHg2Sb
Source: Alexandria
Functional: PBE
Structure: relaxed

Values from the calculation:
E_form (uncorrected) (eV per atom): -0.410
ρ (g/cm³): 8.1

Lattice parameters (Å, degrees): 5.5531 4.5505 4.5564 89.83 90.00 90.00
Closest atoms and distances in Å follow each position.
Atoms (fractional coordinates):
1 Sb 0.5000 0.2500 0.2500  4 Hg 3.19, 4 Ca 3.21-3.22
2 Hg 0.0000 0.0054 0.0051  4 Hg 3.16-3.29, 2 Sb 3.19, 2 Ca 3.23
3 Hg 0.0000 0.4946 0.4949  4 Hg 3.16-3.29, 2 Sb 3.19, 2 Ca 3.23
4 Ca 0.5000 0.7500 0.7500  4 Sb 3.21-3.22, 4 Hg 3.23

=====

(2)
Compound: KCd2Hg
Source: Alexandria
Functional: PBE
Structure: relaxed

Values from the calculation:
ρ (g/cm³): 5.1
Energy of formation (eV per atom): -0.012

Lattice parameters (Å, degrees): 5.3603 5.3603 11.2409 76.21 76.21 90.00
Closest atoms and distances in Å follow each position.
Atoms (fractional coordinates):
1 K 0.2500 0.7500 0.5000  4 Cd 3.67, 4 Hg 3.79
2 Cd 0.7792 0.1250 0.2500  2 Cd 2.87, 2 Hg 3.01
3 K 0.5000 0.5000 0.0000  4 Cd 3.67, 4 Hg 3.79
4 Cd 0.3750 0.2208 0.7500  2 Cd 2.87, 2 Hg 3.01
5 Cd 0.9708 0.6250 0.2500  2 Cd 2.87, 2 Hg 3.01
6 Cd 0.8750 0.0292 0.7500  2 Cd 2.87, 2 Hg 3.01
7 Hg 0.0000 0.0000 0.0000  4 Cd 3.01
8 Hg 0.7500 0.2500 0.5000  4 Cd 3.01

=====

(3)
Compound: Ti2Co2Mo
Source: Alexandria
Functional: PBE
Structure: relaxed

Values from the calculation:
Relative energy among the computed polymorphs (meV per atom): 277
ρ (g/cm³): 6.9
Energy of formation (eV per atom): 0.136

Lattice parameters (Å, degrees): 3.2547 3.2547 7.3563 77.22 77.22 90.00
Closest atoms and distances in Å follow each position.
Atoms (fractional coordinates):
1 Ti 0.6035 0.6035 0.7930  4 Co 2.62, 4 Mo 2.72, 1 Ti 2.89
2 Co 0.7500 0.2500 0.5000  4 Co 2.30
3 Co 0.2500 0.7500 0.5000  4 Co 2.30
4 Mo 0.0000 0.0000 0.0000  8 Ti 2.72
5 Ti 0.3965 0.3965 0.2070  4 Co 2.62, 4 Mo 2.72, 1 Ti 2.89

=====

(4)
Compound: K2HfAs2S6
Source: Alexandria
Functional: PBE
Structure: relaxed

Values from the calculation:
E_form (uncorrected) (eV per atom): -0.810
ρ (g/cm³): 3.5

Lattice parameters (Å, degrees): 7.0234 6.3455 8.1600 105.89 90.00 123.60
Closest atoms and distances in Å follow each position.
Atoms (fractional coordinates):
1 S 0.2575 0.5151 0.4803  1 As 2.22
2 As 0.9102 0.8203 0.7696  3 S 2.22-2.32
3 K 0.6883 0.3766 0.1192  7 S 3.13-3.43
4 As 0.0898 0.1797 0.2304  3 S 2.22-2.32
5 Hf 0.5000 0.0000 0.5000  6 S 2.51-2.60
6 S 0.2987 0.0862 0.7510  1 As 2.32
7 S 0.2125 0.9138 0.2490  1 As 2.32
8 S 0.7875 0.0862 0.7510  1 As 2.32
9 K 0.3117 0.6234 0.8808  7 S 3.13-3.43
10 S 0.7425 0.4849 0.5197  1 As 2.22
11 S 0.7013 0.9138 0.2490  1 As 2.32

=====

(5)
Compound: La8PdAu2
Source: Alexandria
Functional: PBE
Structure: relaxed

Values from the calculation:
Relative energy among the computed polymorphs (meV per atom): 64
ρ (g/cm³): 7.7
Energy of formation (eV per atom): -0.369

Lattice parameters (Å, degrees): 6.4685 9.3737 9.3737 130.31 104.66 104.66
Closest atoms and distances in Å follow each position.
Atoms (fractional coordinates):
1 La 0.9854 0.1764 0.7897  3 Au 3.25-3.32, 1 La 3.42
2 La 0.6709 0.1798 0.4393  1 Pd 2.92, 2 Au 3.06-3.20
3 La 0.0173 0.2151 0.2151  1 Pd 2.92
4 La 0.9854 0.7897 0.1764  3 Au 3.25-3.32, 1 La 3.42
5 La 0.7641 0.6759 0.6759  1 Pd 3.00
6 La 0.3463 0.6432 0.8673  2 Au 3.10-3.25, 1 Pd 3.10
7 La 0.6709 0.4393 0.1798  1 Pd 2.92, 2 Au 3.06-3.20
8 La 0.3463 0.8673 0.6432  2 Au 3.10-3.25, 1 Pd 3.10
9 Pd 0.3236 0.0548 0.0548  6 La 2.92-3.10
10 Au 0.4447 0.2743 0.7181  7 La 3.06-3.32
11 Au 0.4447 0.7181 0.2743  7 La 3.06-3.32

=====

(6)
Compound: KLaRh2
Source: Alexandria
Functional: PBE
Structure: relaxed

Values from the calculation:
Relative energy among the computed polymorphs (meV per atom): 213
ρ (g/cm³): 6.5
Energy of formation (eV per atom): 0.101

Lattice parameters (Å, degrees): 9.3449 9.3449 9.3449 21.77 21.77 21.77
Closest atoms and distances in Å follow each position.
Atoms (fractional coordinates):
1 K 0.2500 0.2500 0.2500  6 Rh 3.35, 6 K 3.53
2 Rh 0.0139 0.0139 0.0139  3 La 2.79
3 La 0.7500 0.7500 0.7500  6 Rh 2.79
4 Rh 0.4861 0.4861 0.4861  3 La 2.79

=====

(7)
Compound: Sc6Pd3Au
Source: Alexandria
Functional: PBE
Structure: relaxed

Values from the calculation:
ρ (g/cm³): 6.0
Energy of formation (eV per atom): -0.532

Lattice parameters (Å, degrees): 6.7837 7.0979 9.0239 90.00 91.44 90.00
Closest atoms and distances in Å follow each position.
Atoms (fractional coordinates):
1 Sc 0.6589 0.1563 0.5649  3 Pd 2.64-2.91, 1 Au 2.73
2 Pd 0.9447 0.3654 0.7457  6 Sc 2.76-3.03
3 Pd 0.5000 0.5000 0.0000  6 Sc 2.62-2.68
4 Sc 0.3411 0.8437 0.4351  3 Pd 2.64-2.91, 1 Au 2.73
5 Sc 0.6459 0.1684 0.9365  2 Pd 2.62-2.77, 1 Au 2.73
6 Sc 0.2097 0.0705 0.7494  3 Pd 2.68-2.76, 1 Au 2.75
7 Pd 0.4447 0.1346 0.2457  6 Sc 2.76-3.03
8 Pd 0.0553 0.6346 0.2543  6 Sc 2.76-3.03
9 Sc 0.8541 0.6684 0.5635  2 Pd 2.62-2.77, 1 Au 2.73
10 Sc 0.2903 0.5705 0.7506  3 Pd 2.68-2.76, 1 Au 2.75
11 Pd 0.0000 0.0000 0.5000  6 Sc 2.62-2.68
12 Sc 0.7903 0.9295 0.2506  3 Pd 2.68-2.76, 1 Au 2.75
13 Sc 0.1589 0.3437 0.0649  3 Pd 2.64-2.91, 1 Au 2.73
14 Sc 0.7097 0.4295 0.2494  3 Pd 2.68-2.76, 1 Au 2.75
15 Sc 0.1459 0.3316 0.4365  2 Pd 2.62-2.77, 1 Au 2.73
16 Sc 0.8411 0.6563 0.9351  3 Pd 2.64-2.91, 1 Au 2.73
17 Pd 0.5553 0.8654 0.7543  6 Sc 2.76-3.03
18 Au 0.0000 0.0000 0.0000  6 Sc 2.73-2.75
19 Sc 0.3541 0.8316 0.0635  2 Pd 2.62-2.77, 1 Au 2.73
20 Au 0.5000 0.5000 0.5000  6 Sc 2.73-2.75

=====

(8)
Compound: Be2RuCl
Source: Alexandria
Functional: PBE
Structure: relaxed

Values from the calculation:
Relative energy among the computed polymorphs (meV per atom): 61
E_form (uncorrected) (eV per atom): 0.010
ρ (g/cm³): 5.0

Lattice parameters (Å, degrees): 3.0117 3.0116 5.6560 90.00 90.00 90.00
Closest atoms and distances in Å follow each position.
Atoms (fractional coordinates):
1 Ru 0.5000 0.5000 0.7500  8 Be 2.37
2 Be 0.0000 0.0000 0.9322  1 Be 2.06
3 Cl 0.5000 0.5000 0.2500  8 Be 2.79, 2 Ru 2.83, 4 Cl 3.01
4 Be 0.0000 0.0000 0.5678  1 Be 2.06

=====

(9)
Compound: GaPdPt3
Source: Alexandria
Functional: PBE
Structure: relaxed

Values from the calculation:
Relative energy among the computed polymorphs (meV per atom): 1005
ρ (g/cm³): 13.0
Energy of formation (eV per atom): 0.660

Lattice parameters (Å, degrees): 4.5970 4.5970 4.5970 90.00 90.00 90.00
Closest atoms and distances in Å follow each position.
Atoms (fractional coordinates):
1 Pd 0.5000 0.5000 0.5000  12 Pt 3.25
2 Pt 0.0000 0.0000 0.5000  2 Ga 2.30
3 Pt 0.0000 0.5000 0.0000  2 Ga 2.30
4 Pt 0.5000 0.0000 0.0000  2 Ga 2.30
5 Ga 0.0000 0.0000 0.0000  6 Pt 2.30

=====

(10)
Compound: Nd2SmSe
Source: Alexandria
Functional: PBE
Structure: relaxed

Values from the calculation:
Relative energy among the computed polymorphs (meV per atom): 0
E_form (uncorrected) (eV per atom): -0.799
ρ (g/cm³): 6.6

Lattice parameters (Å, degrees): 3.9377 3.9377 9.9337 78.57 78.57 60.00
Closest atoms and distances in Å follow each position.
Atoms (fractional coordinates):
1 Se 0.6669 0.6669 0.9994  6 Nd 2.96-2.97
2 Nd 0.0656 0.0656 0.8033  3 Se 2.96
3 Sm 0.4997 0.4997 0.5010  6 Nd 3.70-3.72, 6 Sm 3.94
4 Nd 0.2679 0.2679 0.1963  3 Se 2.97

=====

(11)
Compound: Ce2Nd4Sn3O2
Source: Alexandria
Functional: PBE
Structure: relaxed

Values from the calculation:
E_form (uncorrected) (eV per atom): -1.422
ρ (g/cm³): 6.8

Lattice parameters (Å, degrees): 4.8472 4.8472 13.3697 100.44 100.44 90.00
Closest atoms and distances in Å follow each position.
Atoms (fractional coordinates):
1 Nd 0.9182 0.4182 0.8364  2 O 2.49
2 Ce 0.3062 0.3062 0.6125  1 O 2.32
3 Sn 0.1768 0.1768 0.3536  5 Ce 3.35-3.46, 4 Nd 3.45
4 Sn 0.0000 0.0000 0.0000  8 Nd 3.22
5 O 0.6040 0.6040 0.2080  1 Ce 2.32, 4 Nd 2.49
6 Nd 0.5818 0.0818 0.1636  2 O 2.49
7 Nd 0.0818 0.5818 0.1636  2 O 2.49
8 Ce 0.6938 0.6938 0.3875  1 O 2.32
9 O 0.3960 0.3960 0.7920  1 Ce 2.32, 4 Nd 2.49
10 Sn 0.8232 0.8232 0.6464  5 Ce 3.35-3.46, 4 Nd 3.45
11 Nd 0.4182 0.9182 0.8364  2 O 2.49

=====

(12)
Compound: ZrCr2Si
Source: Alexandria
Functional: PBE
Structure: relaxed

Values from the calculation:
E_form (uncorrected) (eV per atom): 0.352
ρ (g/cm³): 6.0

Lattice parameters (Å, degrees): 7.5686 7.5686 7.5686 23.84 23.84 23.84
Closest atoms and distances in Å follow each position.
Atoms (fractional coordinates):
1 Cr 0.5131 0.5131 0.5131  3 Si 2.38
2 Cr 0.9869 0.9869 0.9869  3 Si 2.38
3 Zr 0.7500 0.7500 0.7500  6 Cr 2.79
4 Si 0.2500 0.2500 0.2500  6 Cr 2.38